An optimized crystal structure of TlHg3Bi2. Source: Alexandria via LeMat-Bulk, functional PBE.

extended XYZ file:
```
12
Lattice="5.2847 0.3844 1.8374 -1.9109 4.9421 1.8374 4.9743 7.8534 18.6100" Properties=species:S:1:pos:R:3 pbc="T T T"
Hg 3.4030 7.9634 14.8762
Hg 1.6840 8.3981 12.3354
Hg 4.9450 5.2164 7.4086
Hg 7.5601 9.7163 19.2545
Hg 6.6640 4.7818 9.9494
Hg 0.7879 3.4636 3.0304
Bi 4.8953 1.2942 3.1283
Bi 5.1629 6.6268 12.4333
Bi 3.1851 6.5531 9.8515
Bi 3.4527 11.8857 19.1565
Tl 2.8716 2.7980 5.5712
Tl 5.4764 10.3819 16.7136
```

## Properties
The calculation puts the uncorrected energy at -1.785 eV/atom. For the formation energy, the calculation gives 54.3 meV per atom.